# 1
KSiAu3: optimized geometry, GGA-PBE.

**DFT total energy**: -3.559 eV/atom
**DOS(E_F)**: 0.0156 states/eV per atom
**Spin magnetization**: 0.000 μB per cell
**Uncorrected formation energy**: -0.2887 eV per atom

a = 4.8866 Å, b = 4.8866 Å, c = 4.8866 Å
α = 89.23°, β = 89.23°, γ = 89.23°
Positions (direct):
K (0.0000, 0.0000, 0.0000)
Si (0.5873, 0.5873, 0.5873)
Au (0.0719, 0.4989, 0.4989)
Au (0.4989, 0.0719, 0.4989)
Au (0.4989, 0.4989, 0.0719)

=====

# 2
GdPuBiBr: optimized geometry, GGA-PBE.

**DFT total energy**: -9.251 eV/atom
**DOS(E_F)**: 3.0666 states/eV per atom
**Spin magnetization**: 13.793 μB per cell
**Uncorrected formation energy**: -0.7597 eV per atom

a = 5.4240 Å, b = 5.4240 Å, c = 5.4240 Å
α = 60.00°, β = 60.00°, γ = 60.00°
Positions (direct):
Gd (0.0000, 0.0000, 0.0000)
Pu (0.5000, 0.5000, 0.5000)
Bi (0.2500, 0.2500, 0.2500)
Br (0.7500, 0.7500, 0.7500)

=====

# 3
NaAlIn2: optimized geometry, GGA-PBE.

**DFT total energy**: -2.645 eV/atom
**DOS(E_F)**: 0.3162 states/eV per atom
**Spin magnetization**: 0.000 μB per cell
**Formation energy**: -0.043 eV per formula unit

a = 4.8821 Å, b = 6.1304 Å, c = 7.3373 Å
α = 91.60°, β = 90.19°, γ = 112.04°
Positions (direct):
Na (0.0000, 0.0000, 0.0000)
Na (0.1621, 0.3178, 0.5079)
Al (0.2837, 0.5756, 0.9888)
Al (0.4443, 0.8850, 0.7140)
In (0.4512, 0.9003, 0.3024)
In (0.6834, 0.3681, 0.8094)
In (0.7148, 0.4290, 0.2106)
In (0.8811, 0.7528, 0.5391)

=====

# 4
Tb3MgZn: optimized geometry, GGA-PBE.

**DFT total energy**: -3.486 eV/atom
**DOS(E_F)**: 1.0974 states/eV per atom
**Spin magnetization**: 0.001 μB per cell
**Formation energy**: -0.669 eV per formula unit

a = 10.2514 Å, b = 10.2514 Å, c = 5.1678 Å
α = 90.00°, β = 90.00°, γ = 150.76°
Positions (direct):
Tb (0.0623, 0.9377, 0.7500)
Tb (0.2496, 0.7504, 0.7500)
Tb (0.4350, 0.5649, 0.7500)
Tb (0.5649, 0.4350, 0.2500)
Tb (0.7504, 0.2496, 0.2500)
Tb (0.9377, 0.0623, 0.2500)
Mg (0.1567, 0.8433, 0.2500)
Mg (0.8433, 0.1567, 0.7500)
Zn (0.3400, 0.6600, 0.2500)
Zn (0.6600, 0.3400, 0.7500)

=====

# 5
Pm4Cd2F: optimized geometry, GGA-PBE.

**DFT total energy**: -4.002 eV/atom
**DOS(E_F)**: 0.8318 states/eV per atom
**Spin magnetization**: 0.000 μB per cell
**Uncorrected formation energy**: -0.7587 eV per atom

a = 8.9509 Å, b = 8.9509 Å, c = 8.9509 Å
α = 148.37°, β = 148.37°, γ = 45.34°
Positions (direct):
Pm (0.0000, 0.5000, 0.5000)
Pm (0.1839, 0.1839, 0.0000)
Pm (0.5000, 0.0000, 0.5000)
Pm (0.8161, 0.8161, 0.0000)
Cd (0.3697, 0.3697, 0.0000)
Cd (0.6303, 0.6303, 0.0000)
F (0.0000, 0.0000, 0.0000)

=====

# 6
BeGeP2O: optimized geometry, GGA-PBE.

**DFT total energy**: -4.890 eV/atom
**DOS(E_F)**: 0.5021 states/eV per atom
**Spin magnetization**: 0.000 μB per cell
**Uncorrected formation energy**: -0.0652 eV per atom

a = 5.0190 Å, b = 5.0190 Å, c = 2.9084 Å
α = 90.00°, β = 90.00°, γ = 90.00°
Positions (direct):
Be (0.0000, 0.0000, 0.0000)
Ge (0.5000, 0.5000, 0.5000)
P (0.0000, 0.5000, 0.0000)
P (0.5000, 0.0000, 0.0000)
O (0.0000, 0.0000, 0.5000)

=====

# 7
LiLaSb2: optimized geometry, GGA-PBE.

**DFT total energy**: -4.452 eV/atom
**DOS(E_F)**: 0.4389 states/eV per atom
**Spin magnetization**: 0.000 μB per cell
**Uncorrected formation energy**: -0.6809 eV per atom

a = 3.4231 Å, b = 4.3740 Å, c = 7.0827 Å
α = 90.00°, β = 90.73°, γ = 90.00°
Positions (direct):
Li (0.0000, 0.0000, 0.0000)
La (0.0000, 0.0000, 0.5000)
Sb (0.4957, 0.5000, 0.2270)
Sb (0.5043, 0.5000, 0.7730)

=====

# 8
Mn2AsCl: optimized geometry, GGA-PBE.

**DFT total energy**: -5.568 eV/atom
**DOS(E_F)**: 1.5120 states/eV per atom
**Spin magnetization**: 8.209 μB per cell
**Uncorrected formation energy**: 0.6410 eV per atom

a = 4.6726 Å, b = 4.6726 Å, c = 4.6726 Å
α = 60.00°, β = 60.00°, γ = 60.00°
Positions (direct):
Mn (0.0000, 0.0000, 0.0000)
Mn (0.2500, 0.2500, 0.2500)
As (0.7500, 0.7500, 0.7500)
Cl (0.5000, 0.5000, 0.5000)

=====

# 9
Nb2ReHPd: optimized geometry, GGA-PBE.

**DFT total energy**: -7.519 eV/atom
**DOS(E_F)**: 1.0605 states/eV per atom
**Spin magnetization**: 0.000 μB per cell

a = 5.0138 Å, b = 5.0138 Å, c = 3.2027 Å
α = 90.00°, β = 90.00°, γ = 90.00°
Positions (direct):
Nb (0.0000, 0.5000, 0.0000)
Nb (0.5000, 0.0000, 0.0000)
Re (0.0000, 0.0000, 0.0000)
H (0.0000, 0.0000, 0.5000)
Pd (0.5000, 0.5000, 0.5000)

=====

# 10
Rb2PdO: optimized geometry, GGA-PBE.

**DFT total energy**: -3.589 eV/atom
**DOS(E_F)**: 1.1184 states/eV per atom
**Spin magnetization**: 0.000 μB per cell
**Uncorrected formation energy**: -0.5671 eV per atom

a = 6.4403 Å, b = 6.4403 Å, c = 6.4403 Å
α = 142.11°, β = 138.36°, γ = 57.55°
Positions (direct):
Rb (0.1463, 0.1463, 0.0000)
Rb (0.8537, 0.8537, 0.0000)
Pd (0.5000, 0.5000, 0.0000)
O (0.5000, 0.0000, 0.5000)

=====

# 11
PmSeO6: optimized geometry, GGA-PBE.

**DFT total energy**: -5.751 eV/atom
**DOS(E_F)**: 0.3051 states/eV per atom
**Spin magnetization**: 0.995 μB per cell
**Uncorrected formation energy**: -1.0031 eV per atom

a = 4.3516 Å, b = 4.3516 Å, c = 4.9038 Å
α = 97.42°, β = 97.42°, γ = 94.75°
Positions (direct):
Pm (0.0000, 0.0000, 0.0000)
Se (0.5000, 0.5000, 0.5000)
O (0.1792, 0.5519, 0.2438)
O (0.2268, 0.2268, 0.6356)
O (0.4481, 0.8208, 0.7562)
O (0.5519, 0.1792, 0.2438)
O (0.7732, 0.7732, 0.3644)
O (0.8208, 0.4481, 0.7562)

=====

# 12
SnTeS2: optimized geometry, GGA-PBE.

**DFT total energy**: -3.613 eV/atom
**DOS(E_F)**: 0.7673 states/eV per atom
**Spin magnetization**: 0.000 μB per cell
**Uncorrected formation energy**: 0.2365 eV per atom

a = 4.9637 Å, b = 4.9637 Å, c = 4.9637 Å
α = 60.00°, β = 60.00°, γ = 60.00°
Positions (direct):
Sn (0.0000, 0.0000, 0.0000)
Te (0.5000, 0.5000, 0.5000)
S (0.2500, 0.2500, 0.2500)
S (0.7500, 0.7500, 0.7500)

=====

# 13
RbMg2CoC: optimized geometry, GGA-PBE.

**DFT total energy**: -3.353 eV/atom
**DOS(E_F)**: 0.4814 states/eV per atom
**Spin magnetization**: 0.138 μB per cell
**Formation energy**: 3.720 eV per formula unit

a = 5.0177 Å, b = 5.0177 Å, c = 3.7782 Å
α = 90.00°, β = 90.00°, γ = 90.00°
Positions (direct):
Rb (0.0000, 0.0000, 0.0000)
Mg (0.0000, 0.5000, 0.5000)
Mg (0.5000, 0.0000, 0.5000)
Co (0.5000, 0.5000, 0.0000)
C (0.5000, 0.5000, 0.5000)

=====

# 14
In3BrN: optimized geometry, GGA-PBE.

**DFT total energy**: -2.238 eV/atom
**DOS(E_F)**: 2.8107 states/eV per atom
**Spin magnetization**: 0.000 μB per cell
**Uncorrected formation energy**: 1.4048 eV per atom

a = 5.9794 Å, b = 5.9794 Å, c = 5.9794 Å
α = 90.00°, β = 90.00°, γ = 90.00°
Positions (direct):
In (0.0000, 0.0000, 0.5000)
In (0.0000, 0.5000, 0.0000)
In (0.5000, 0.0000, 0.0000)
Br (0.0000, 0.0000, 0.0000)
N (0.5000, 0.5000, 0.5000)

=====

# 15
ErAg5: optimized geometry, GGA-PBE.

**DFT total energy**: -3.253 eV/atom
**DOS(E_F)**: 0.4458 states/eV per atom
**Spin magnetization**: 0.000 μB per cell
**Formation energy**: -0.696 eV per formula unit

a = 5.2336 Å, b = 5.2336 Å, c = 6.1438 Å
α = 106.58°, β = 106.58°, γ = 47.06°
Positions (direct):
Er (0.0000, 0.0000, 0.0000)
Ag (0.0000, 0.0000, 0.5000)
Ag (0.3293, 0.3293, 0.6570)
Ag (0.3338, 0.3338, 0.1747)
Ag (0.6662, 0.6662, 0.8253)
Ag (0.6707, 0.6707, 0.3430)

=====

# 16
ErMnCoSi2: optimized geometry, GGA-PBE.

**DFT total energy**: -7.027 eV/atom
**DOS(E_F)**: 1.0242 states/eV per atom
**Spin magnetization**: 2.032 μB per cell
**Uncorrected formation energy**: -0.6899 eV per atom

a = 5.6775 Å, b = 5.6775 Å, c = 5.6775 Å
α = 139.92°, β = 139.92°, γ = 57.98°
Positions (direct):
Er (0.0000, 0.0000, 0.0000)
Mn (0.2500, 0.7500, 0.5000)
Co (0.7500, 0.2500, 0.5000)
Si (0.3766, 0.3766, 0.0000)
Si (0.6234, 0.6234, 0.0000)

=====

# 17
AlZnGa: optimized geometry, GGA-PBE.

**DFT total energy**: -2.639 eV/atom
**DOS(E_F)**: 0.3366 states/eV per atom
**Spin magnetization**: 0.000 μB per cell
**Formation energy**: 0.126 eV per formula unit

a = 2.9144 Å, b = 5.7606 Å, c = 6.2597 Å
α = 89.84°, β = 76.94°, γ = 89.81°
Positions (direct):
Al (0.0000, 0.0000, 0.0000)
Al (0.3428, 0.2552, 0.3148)
Zn (0.3508, 0.7472, 0.3001)
Zn (0.9967, 0.4963, 0.0054)
Ga (0.6789, 0.5093, 0.6370)
Ga (0.6890, 0.9968, 0.6219)

=====

# 18
NaCS2F: optimized geometry, GGA-PBE.

**DFT total energy**: -2.162 eV/atom
**DOS(E_F)**: 1.6627 states/eV per atom
**Spin magnetization**: 3.183 μB per cell
**Uncorrected formation energy**: 1.9722 eV per atom

a = 5.0379 Å, b = 5.0379 Å, c = 4.5361 Å
α = 90.00°, β = 90.00°, γ = 90.00°
Positions (direct):
Na (0.0000, 0.0000, 0.0000)
C (0.0000, 0.0000, 0.5000)
S (0.0000, 0.5000, 0.0000)
S (0.5000, 0.0000, 0.0000)
F (0.5000, 0.5000, 0.5000)

=====

# 19
Zr4TiCd3: optimized geometry, GGA-PBE.

**DFT total energy**: -5.693 eV/atom
**DOS(E_F)**: 1.0835 states/eV per atom
**Spin magnetization**: 0.399 μB per cell
**Formation energy**: -0.715 eV per formula unit

a = 3.1231 Å, b = 3.1231 Å, c = 17.5665 Å
α = 90.00°, β = 90.00°, γ = 90.00°
Positions (direct):
Zr (0.0000, 0.0000, 0.1162)
Zr (0.0000, 0.0000, 0.3741)
Zr (0.0000, 0.0000, 0.6259)
Zr (0.0000, 0.0000, 0.8838)
Ti (0.5000, 0.5000, 0.0000)
Cd (0.5000, 0.5000, 0.2484)
Cd (0.5000, 0.5000, 0.5000)
Cd (0.5000, 0.5000, 0.7516)

=====

# 20
Y2CdCu2Pd5: optimized geometry, GGA-PBE.

**DFT total energy**: -5.426 eV/atom
**DOS(E_F)**: 0.3416 states/eV per atom
**Spin magnetization**: 0.000 μB per cell
**Formation energy**: -6.257 eV per formula unit

a = 9.4466 Å, b = 9.4466 Å, c = 3.9499 Å
α = 90.00°, β = 90.00°, γ = 90.00°
Positions (direct):
Y (0.1756, 0.3244, 0.0000)
Y (0.3244, 0.8244, 0.0000)
Y (0.6756, 0.1756, 0.0000)
Y (0.8244, 0.6756, 0.0000)
Cd (0.0000, 0.0000, 0.0000)
Cd (0.5000, 0.5000, 0.0000)
Cu (0.1206, 0.6206, 0.0000)
Cu (0.3794, 0.1206, 0.0000)
Cu (0.6206, 0.8794, 0.0000)
Cu (0.8794, 0.3794, 0.0000)
Pd (0.0000, 0.5000, 0.5000)
Pd (0.0719, 0.7926, 0.5000)
Pd (0.2074, 0.0719, 0.5000)
Pd (0.2926, 0.5719, 0.5000)
Pd (0.4281, 0.2926, 0.5000)
Pd (0.5000, 0.0000, 0.5000)
Pd (0.5719, 0.7074, 0.5000)
Pd (0.7074, 0.4281, 0.5000)
Pd (0.7926, 0.9281, 0.5000)
Pd (0.9281, 0.2074, 0.5000)

=====

# 21
HgAs2Pb2: optimized geometry, GGA-PBE.

**DFT total energy**: -3.299 eV/atom
**DOS(E_F)**: 0.3147 states/eV per atom
**Spin magnetization**: 0.000 μB per cell
**Formation energy**: 0.521 eV per formula unit

a = 8.4416 Å, b = 8.4416 Å, c = 8.4416 Å
α = 150.75°, β = 150.75°, γ = 41.85°
Positions (direct):
Hg (0.0000, 0.0000, 0.0000)
As (0.2500, 0.7500, 0.5000)
As (0.7500, 0.2500, 0.5000)
Pb (0.3853, 0.3853, 0.0000)
Pb (0.6147, 0.6147, 0.0000)

=====

# 22
FeIr2: optimized geometry, GGA-PBE.

**DFT total energy**: -7.890 eV/atom
**DOS(E_F)**: 1.3484 states/eV per atom
**Spin magnetization**: 9.690 μB per cell
**Formation energy**: 2.516 eV per formula unit

a = 5.7646 Å, b = 5.7646 Å, c = 5.7646 Å
α = 90.00°, β = 90.00°, γ = 90.00°
Positions (direct):
Fe (0.0000, 0.0000, 0.0000)
Fe (0.0000, 0.5000, 0.5000)
Fe (0.5000, 0.0000, 0.5000)
Fe (0.5000, 0.5000, 0.0000)
Ir (0.1215, 0.6215, 0.8785)
Ir (0.1215, 0.8785, 0.3785)
Ir (0.3785, 0.1215, 0.8785)
Ir (0.3785, 0.3785, 0.3785)
Ir (0.6215, 0.6215, 0.6215)
Ir (0.6215, 0.8785, 0.1215)
Ir (0.8785, 0.1215, 0.6215)
Ir (0.8785, 0.3785, 0.1215)

=====

# 23
BaLi4HgBi2: optimized geometry, GGA-PBE.

**DFT total energy**: -2.763 eV/atom
**DOS(E_F)**: 0.0145 states/eV per atom
**Spin magnetization**: 0.000 μB per cell
**Formation energy**: -4.459 eV per formula unit

a = 10.1332 Å, b = 10.1332 Å, c = 10.1332 Å
α = 28.28°, β = 28.28°, γ = 28.28°
Positions (direct):
Ba (0.0000, 0.0000, 0.0000)
Li (0.1338, 0.1338, 0.1338)
Li (0.4107, 0.4107, 0.4107)
Li (0.5893, 0.5893, 0.5893)
Li (0.8662, 0.8662, 0.8662)
Hg (0.5000, 0.5000, 0.5000)
Bi (0.2518, 0.2518, 0.2518)
Bi (0.7482, 0.7482, 0.7482)

=====

# 24
YCr2Rh: optimized geometry, GGA-PBE.

**DFT total energy**: -8.079 eV/atom
**DOS(E_F)**: 1.1281 states/eV per atom
**Spin magnetization**: 0.000 μB per cell
**Formation energy**: 0.746 eV per formula unit

a = 5.0757 Å, b = 5.0757 Å, c = 4.9549 Å
α = 104.87°, β = 104.87°, γ = 34.68°
Positions (direct):
Y (0.0000, 0.0000, 0.0000)
Cr (0.2269, 0.2269, 0.6369)
Cr (0.7731, 0.7731, 0.3631)
Rh (0.5000, 0.5000, 0.5000)

=====

# 25
NaRePd3: optimized geometry, GGA-PBE.

**DFT total energy**: -5.027 eV/atom
**DOS(E_F)**: 0.9250 states/eV per atom
**Spin magnetization**: 0.000 μB per cell
**Formation energy**: 4.212 eV per formula unit

a = 4.8680 Å, b = 4.8680 Å, c = 4.8680 Å
α = 90.00°, β = 90.00°, γ = 90.00°
Positions (direct):
Na (0.0000, 0.0000, 0.0000)
Re (0.5000, 0.5000, 0.5000)
Pd (0.0000, 0.5000, 0.5000)
Pd (0.5000, 0.0000, 0.5000)
Pd (0.5000, 0.5000, 0.0000)

=====

# 26
Tb2PmNdDy5: optimized geometry, GGA-PBE.

**DFT total energy**: -4.369 eV/atom
**DOS(E_F)**: 1.1788 states/eV per atom
**Spin magnetization**: 0.000 μB per cell
**Formation energy**: 2.472 eV per formula unit

a = 9.8406 Å, b = 9.8406 Å, c = 9.8406 Å
α = 127.08°, β = 127.08°, γ = 78.11°
Positions (direct):
Tb (0.1166, 0.6166, 0.7331)
Tb (0.3834, 0.1166, 0.5000)
Tb (0.6166, 0.8834, 0.5000)
Tb (0.8834, 0.3834, 0.2669)
Pm (0.2500, 0.2500, 0.0000)
Pm (0.7500, 0.7500, 0.0000)
Nd (0.2500, 0.7500, 0.5000)
Nd (0.7500, 0.2500, 0.5000)
Dy (0.0000, 0.0000, 0.0000)
Dy (0.0698, 0.1611, 0.5000)
Dy (0.1611, 0.6611, 0.0913)
Dy (0.3389, 0.4302, 0.5000)
Dy (0.4302, 0.9302, 0.0913)
Dy (0.5000, 0.5000, 0.0000)
Dy (0.5698, 0.0698, 0.9087)
Dy (0.6611, 0.5698, 0.5000)
Dy (0.8389, 0.3389, 0.9087)
Dy (0.9302, 0.8389, 0.5000)